(1)
Here is crystalline Re2AgAs at its relaxed geometry from Alexandria via LeMat-Bulk. Energies are from GGA-PBE.

Calculated values
Total energy (eV per atom): -7.36
Space-group type: I-4m2, No. 119
Formation energy from the elements (eV/f.u.): 2.98
DOS at the Fermi energy (states/eV per cell): 3.26

abc: 4.7618 4.7618 4.7618
angles: 129.33 129.33 74.48
Closest atoms and distances in Å follow each position.
Sites, in units of the cell vectors:
Re1 0.2500 0.7500 0.5000  4 Re 2.78, 4 Ag 2.78, 4 As 2.88
Re2 0.0000 0.0000 0.0000  4 As 2.78, 4 Re 2.78, 4 Ag 2.88
As1 0.7500 0.2500 0.5000  8 Re 2.78-2.88, 4 Ag 2.78
Ag1 0.5000 0.5000 0.0000  4 As 2.78, 8 Re 2.78-2.88

---

(2)
Here is crystalline ReAg3As at its relaxed geometry from Alexandria via LeMat-Bulk. Energies are from GGA-PBE.

Calculated values
Energy above the most stable polymorph in this dataset (meV/atom): 396
Total energy (eV per atom): -3.32
Space-group type: Pm-3m, No. 221
Formation energy from the elements (eV/f.u.): 9.07
DOS at the Fermi energy (states/eV per cell): 4.48

abc: 5.0421 5.0421 5.0421
angles: 90.00 90.00 90.00
Closest atoms and distances in Å follow each position.
Sites, in units of the cell vectors:
Ag1 0.5000 0.0000 0.0000  2 Re 2.52
Ag2 0.0000 0.5000 0.0000  2 Re 2.52
Ag3 0.0000 0.0000 0.5000  2 Re 2.52
As1 0.5000 0.5000 0.5000  12 Ag 3.57
Re1 0.0000 0.0000 0.0000  6 Ag 2.52

---

(3)
Here is crystalline ReAgAs3 at its relaxed geometry from Alexandria via LeMat-Bulk. Energies are from GGA-PBE.

Calculated values
Energy above the most stable polymorph in this dataset (meV/atom): 0
Total energy (eV per atom): -5.16
Space-group type: Pm-3m, No. 221
Formation energy from the elements (eV/f.u.): 3.45
DOS at the Fermi energy (states/eV per cell): 6.43

abc: 4.8570 4.8570 4.8570
angles: 90.00 90.00 90.00
Closest atoms and distances in Å follow each position.
Sites, in units of the cell vectors:
Re1 0.0000 0.0000 0.0000  6 As 2.43
As1 0.0000 0.0000 0.5000  2 Re 2.43
As2 0.0000 0.5000 0.0000  2 Re 2.43
As3 0.5000 0.0000 0.0000  2 Re 2.43
Ag1 0.5000 0.5000 0.5000  12 As 3.43

---

(4)
Here is crystalline Re4AgAs at its relaxed geometry from Alexandria via LeMat-Bulk. Energies are from GGA-PBE.

Calculated values
Total energy (eV per atom): -8.72
Space-group type: F-43m, No. 216
Formation energy from the elements (eV/f.u.): 4.97
DOS at the Fermi energy (states/eV per cell): 4.79

abc: 5.2566 5.2566 5.2566
angles: 60.00 60.00 60.00
Closest atoms and distances in Å follow each position.
Sites, in units of the cell vectors:
As1 0.0000 0.0000 0.0000  12 Re 3.08, 4 Ag 3.22
Ag1 0.7500 0.7500 0.7500  12 Re 3.08, 4 As 3.22
Re1 0.3752 0.8744 0.3752  6 Re 2.62-2.63
Re2 0.3752 0.3752 0.3752  6 Re 2.62-2.63
Re3 0.8744 0.3752 0.3752  6 Re 2.62-2.63
Re4 0.3752 0.3752 0.8744  6 Re 2.62-2.63